No. 1
The following is a GGA-PBE calculation of a relaxed structure of LaNdBr3N, from OQMD.

Unit cell a=18.169 b=4.097 c=11.723 alpha=90.00 beta=122.36 gamma=90.00
Space group C2/m (No. 12)
Unique sites:
La (0.135, 0.000, 0.286) [4 per cell]
Nd (0.079, 0.500, 0.957) [4 per cell]
Br (0.045, 0.000, 0.749) [4 per cell]
Br (0.164, 0.500, 0.511) [4 per cell]
Br (0.219, 0.000, 0.116) [4 per cell]
N (0.073, 0.500, 0.152) [4 per cell]

Results
**Density**: 4.84 g/cm³
**Total magnetic moment**: 0.0 μB per formula unit
**Electronic total energy**: -5.7077 eV per atom
**Excess energy over the best structure of this formula in the dataset**: 0 meV/atom

No. 2
The following is a GGA-PBE calculation of a relaxed structure of LiNbInNi, from OQMD.

Unit cell a=6.225 b=6.225 c=6.225 alpha=90.00 beta=90.00 gamma=90.00
Space group F-43m (No. 216)
Unique sites:
Li (0.000, 0.000, 0.000) [4 per cell]
Nb (0.250, 0.250, 0.750) [4 per cell]
In (0.250, 0.250, 0.250) [4 per cell]
Ni (0.000, 0.000, 0.500) [4 per cell]

Results
**Density**: 7.53 g/cm³
**Total magnetic moment**: 0.1 μB per formula unit
**Electronic total energy**: -5.1337 eV per atom
**Excess energy over the best structure of this formula in the dataset**: 0 meV/atom

No. 3
The following is a GGA-PBE calculation of a relaxed structure of TaTlAsO, from OQMD.

Unit cell a=3.728 b=9.237 c=5.196 alpha=90.00 beta=90.00 gamma=90.00
Space group Pmc2_1 (No. 26)
Unique sites:
Ta (0.000, 0.111, 0.000) [2 per cell]
Tl (0.500, 0.399, 0.630) [2 per cell]
As (0.000, 0.163, 0.496) [2 per cell]
O (0.500, 0.174, 0.003) [2 per cell]

Results
**Density**: 8.84 g/cm³
**Total magnetic moment**: 0.0 μB per formula unit
**Electronic total energy**: -6.8406 eV per atom
**Excess energy over the best structure of this formula in the dataset**: 0 meV/atom

No. 4
The following is a GGA-PBE calculation of a relaxed structure of DyY2Al, from OQMD.

Unit cell a=5.327 b=6.999 c=11.971 alpha=90.00 beta=90.00 gamma=90.00
Space group Amm2 (No. 38)
Unique sites:
Dy (0.000, 0.000, 0.000) [2 per cell]
Dy (0.500, 0.000, 0.314) [2 per cell]
Y (0.000, 0.000, 0.496) [2 per cell]
Y (0.500, 0.000, 0.820) [2 per cell]
Y (0.500, 0.249, 0.082) [4 per cell]
Al (0.000, 0.246, 0.734) [4 per cell]

Results
**Density**: 5.47 g/cm³
**Total magnetic moment**: 0.0 μB per formula unit
**Electronic total energy**: -5.3906 eV per atom
**Excess energy over the best structure of this formula in the dataset**: 126 meV/atom

No. 5
The following is a GGA-PBE calculation of a relaxed structure of Dy2AlTlZn2, from OQMD.

Unit cell a=4.5793 b=4.5793 c=7.2551 alpha=90.00 beta=90.00 gamma=120.00
Space group P3m1 (No. 156)
Unique sites:
Dy (0.0000, 0.0000, 0.0000) [1 per cell]
Dy (0.0000, 0.0000, 0.4886) [1 per cell]
Al (0.6667, 0.3333, 0.2176) [1 per cell]
Tl (0.3333, 0.6667, 0.7141) [1 per cell]
Zn (0.3333, 0.6667, 0.2765) [1 per cell]
Zn (0.6667, 0.3333, 0.8125) [1 per cell]

Results
**Density**: 8.66 g/cm³
**Total magnetic moment**: 0.0 μB per formula unit
**Electronic total energy**: -3.3732 eV per atom

No. 6
The following is a GGA-PBE calculation of a relaxed structure of Nb4NiSnN2, from OQMD.

Unit cell a=3.2051 b=3.2051 c=13.1574 alpha=90.00 beta=90.00 gamma=120.00
Space group P-6m2 (No. 187)
Unique sites:
Nb (0.0000, 0.0000, 0.1452) [2 per cell]
Nb (0.3333, 0.6667, 0.3213) [2 per cell]
Ni (0.3333, 0.6667, 0.0000) [1 per cell]
Sn (0.0000, 0.0000, 0.5000) [1 per cell]
N (0.6667, 0.3333, 0.2330) [2 per cell]

Results
**Density**: 8.19 g/cm³
**Total magnetic moment**: 0.0 μB per formula unit
**Electronic total energy**: -8.8216 eV per atom

No. 7
The following is a GGA-PBE calculation of a relaxed structure of HgW2Au, from OQMD.

Unit cell a=6.561 b=6.561 c=6.561 alpha=90.00 beta=90.00 gamma=90.00
Space group F-43m (No. 216)
Unique sites:
Hg (0.000, 0.000, 0.000) [4 per cell]
W (0.000, 0.000, 0.500) [4 per cell]
W (0.250, 0.250, 0.250) [4 per cell]
Au (0.250, 0.250, 0.750) [4 per cell]

Results
**Density**: 18.00 g/cm³
**Total magnetic moment**: 0.0 μB per formula unit
**Electronic total energy**: -6.5287 eV per atom
**ΔH_f (0 K)**: 3.4 eV per formula unit

No. 8
The following is a GGA-PBE calculation of a relaxed structure of Cu4Ag, from OQMD.

Unit cell a=2.6636 b=2.6636 c=32.0811 alpha=90.00 beta=90.00 gamma=120.00
Space group R-3m (No. 166, hexagonal axes)
Unique sites:
Cu (0.0000, 0.0000, 0.0948) [6 per cell]
Cu (0.0000, 0.0000, 0.3016) [6 per cell]
Ag (0.0000, 0.0000, 0.5000) [3 per cell]

Results
**Density**: 9.15 g/cm³
**Electronic total energy**: -3.4536 eV per atom
**Excess energy over the best structure of this formula in the dataset**: 41 meV/atom
**ΔH_f (0 K)**: 0.4 eV per formula unit

No. 9
The following is a GGA-PBE calculation of a relaxed structure of Pr2Al3Hg3, from OQMD.

Unit cell a=4.804 b=6.685 c=11.728 alpha=90.00 beta=90.00 gamma=90.00
Space group Amm2 (No. 38)
Unique sites:
Pr (0.000, 0.000, 0.000) [2 per cell]
Pr (0.500, 0.000, 0.343) [2 per cell]
Al (0.000, 0.214, 0.750) [4 per cell]
Al (0.500, 0.000, 0.821) [2 per cell]
Hg (0.000, 0.000, 0.520) [2 per cell]
Hg (0.500, 0.248, 0.607) [4 per cell]

Results
**Density**: 8.51 g/cm³
**Total magnetic moment**: 0.0 μB per formula unit
**Electronic total energy**: -3.0582 eV per atom
**Excess energy over the best structure of this formula in the dataset**: 17 meV/atom

No. 10
The following is a GGA-PBE calculation of a relaxed structure of MgHgSO, from OQMD.

Unit cell a=6.040 b=7.130 c=7.657 alpha=90.00 beta=90.00 gamma=90.00
Space group P2_12_12_1 (No. 19)
Unique sites:
Mg (0.150, 0.202, 0.092) [4 per cell]
Hg (0.070, 0.295, 0.638) [4 per cell]
S (0.026, 0.874, 0.157) [4 per cell]
O (0.034, 0.780, 0.598) [4 per cell]

Results
**Density**: 5.50 g/cm³
**Electronic total energy**: -3.8311 eV per atom
**Excess energy over the best structure of this formula in the dataset**: 94 meV/atom

No. 11
The following is a GGA-PBE calculation of a relaxed structure of RbSmBeS3, from OQMD.

Unit cell a=3.960 b=14.820 c=10.701 alpha=90.00 beta=90.00 gamma=90.00
Space group Cmcm (No. 63)
Unique sites:
Rb (0.000, 0.242, 0.250) [4 per cell]
Sm (0.000, 0.500, 0.000) [4 per cell]
Be (0.000, 0.039, 0.750) [4 per cell]
S (0.000, 0.115, 0.586) [8 per cell]
S (0.000, 0.450, 0.750) [4 per cell]

Results
**Density**: 3.61 g/cm³
**Total magnetic moment**: 0.0 μB per formula unit
**Electronic total energy**: -5.1646 eV per atom

No. 12
The following is a GGA-PBE calculation of a relaxed structure of Zr2Ta, from OQMD.

Unit cell a=2.989 b=5.116 c=16.758 alpha=90.00 beta=90.00 gamma=90.00
Space group Pmmn (No. 59, origin choice 2)
Unique sites:
Zr (0.250, 0.250, 0.036) [2 per cell]
Zr (0.250, 0.250, 0.705) [2 per cell]
Zr (0.250, 0.750, 0.464) [2 per cell]
Zr (0.250, 0.750, 0.794) [2 per cell]
Ta (0.250, 0.250, 0.372) [2 per cell]
Ta (0.250, 0.750, 0.129) [2 per cell]

Results
**Density**: 9.42 g/cm³
**Total magnetic moment**: 0.0 μB per formula unit
**Electronic total energy**: -9.4861 eV per atom
**ΔH_f (0 K)**: 0.5 eV per formula unit